(1)
# ZrCoTe2 | Alexandria via LeMat-Bulk | PBE-GGA | relaxed
# Spin magnetization (μB per cell): 1.13
# Uncorrected formation energy (meV/atom): -205
data_ZrCoTe2
_chemical_formula_sum 'Zr1 Co1 Te2'
_symmetry_space_group_name_H-M 'P 1 2/m 1'
_symmetry_Int_Tables_number 10
_cell_length_a 3.677
_cell_length_b 3.625
_cell_length_c 6.681
_cell_angle_alpha 90.00
_cell_angle_beta 103.55
_cell_angle_gamma 90.00
loop_
_symmetry_equiv_pos_as_xyz
'x,y,z'
'-x,-y,-z'
'-x,y,-z'
'x,-y,z'
loop_
_atom_site_label
_atom_site_type_symbol
_atom_site_fract_x
_atom_site_fract_y
_atom_site_fract_z
Zr1 Zr 0.000 0.000 0.000
Co1 Co 0.000 0.000 0.500
Te1 Te 0.354 0.500 0.742

=====

(2)
# ZrCoTe2 | Alexandria via LeMat-Bulk | PBE-GGA | relaxed
# Spin magnetization (μB per cell): 1.34
# Uncorrected formation energy (meV/atom): -224
data_ZrCoTe2
_chemical_formula_sum 'Zr2 Co2 Te4'
_symmetry_space_group_name_H-M 'C m m 2'
_symmetry_Int_Tables_number 35
_cell_length_a 4.476
_cell_length_b 5.018
_cell_length_c 8.592
_cell_angle_alpha 90.00
_cell_angle_beta 90.00
_cell_angle_gamma 90.00
loop_
_symmetry_equiv_pos_as_xyz
'x,y,z'
'-x,-y,z'
'-x,y,z'
'x,-y,z'
'x+1/2,y+1/2,z'
'-x+1/2,-y+1/2,z'
'-x+1/2,y+1/2,z'
'x+1/2,-y+1/2,z'
loop_
_atom_site_label
_atom_site_type_symbol
_atom_site_fract_x
_atom_site_fract_y
_atom_site_fract_z
Zr1 Zr 0.000 0.000 0.000
Co1 Co 0.000 0.500 0.798
Te1 Te 0.000 0.000 0.653
Te2 Te 0.000 0.500 0.221

=====

(3)
# Zr2CoTe | Alexandria via LeMat-Bulk | PBE-GGA | relaxed
# Spin magnetization (μB per cell): 6.64
# Uncorrected formation energy (meV/atom): 206
data_Zr2CoTe
_chemical_formula_sum 'Zr8 Co4 Te4'
_symmetry_space_group_name_H-M 'F -4 3 m'
_symmetry_Int_Tables_number 216
_symmetry_space_group_name_Hall 'F -4 2 3'
_cell_length_a 6.764
_cell_length_b 6.764
_cell_length_c 6.764
_cell_angle_alpha 90.00
_cell_angle_beta 90.00
_cell_angle_gamma 90.00
loop_
_atom_site_label
_atom_site_type_symbol
_atom_site_fract_x
_atom_site_fract_y
_atom_site_fract_z
Zr1 Zr 0.000 0.000 0.000
Zr2 Zr 0.250 0.250 0.250
Co1 Co 0.250 0.250 0.750
Te1 Te 0.000 0.000 0.500

=====

(4)
# ZrCoTe2 | Alexandria via LeMat-Bulk | PBE-GGA | relaxed
# Spin magnetization (μB per cell): 8.11
# Uncorrected formation energy (meV/atom): -197
data_ZrCoTe2
_chemical_formula_sum 'Zr3 Co3 Te6'
_symmetry_space_group_name_H-M 'R -3 m'
_symmetry_Int_Tables_number 166
_symmetry_space_group_name_Hall '-R 3 2"'
_cell_length_a 3.9154
_cell_length_b 3.9154
_cell_length_c 20.4728
_cell_angle_alpha 90.00
_cell_angle_beta 90.00
_cell_angle_gamma 120.00
loop_
_atom_site_label
_atom_site_type_symbol
_atom_site_fract_x
_atom_site_fract_y
_atom_site_fract_z
Zr1 Zr 0.0000 0.0000 0.0000
Co1 Co 0.0000 0.0000 0.5000
Te1 Te 0.0000 0.0000 0.2386

=====

(5)
# ZrCoTe2 | Alexandria via LeMat-Bulk | PBE-GGA | relaxed
# Spin magnetization (μB per cell): 1.57
# Uncorrected formation energy (meV/atom): -650
data_ZrCoTe2
_chemical_formula_sum 'Zr2 Co2 Te4'
_symmetry_space_group_name_H-M 'C 1 m 1'
_symmetry_Int_Tables_number 8
_cell_length_a 7.316
_cell_length_b 4.224
_cell_length_c 7.007
_cell_angle_alpha 90.00
_cell_angle_beta 90.32
_cell_angle_gamma 90.00
loop_
_symmetry_equiv_pos_as_xyz
'x,y,z'
'x,-y,z'
'x+1/2,y+1/2,z'
'x+1/2,-y+1/2,z'
loop_
_atom_site_label
_atom_site_type_symbol
_atom_site_fract_x
_atom_site_fract_y
_atom_site_fract_z
Zr1 Zr 0.000 0.000 0.000
Co1 Co 0.334 0.000 0.150
Te1 Te 0.168 0.500 0.272
Te2 Te 0.332 0.000 0.769

=====

(6)
# ZrCoTe2 | Alexandria via LeMat-Bulk | PBE-GGA | relaxed
# Spin magnetization (μB per cell): 4.21
# Uncorrected formation energy (meV/atom): 323
data_ZrCoTe2
_chemical_formula_sum 'Zr4 Co4 Te8'
_symmetry_space_group_name_H-M 'F -4 3 m'
_symmetry_Int_Tables_number 216
_symmetry_space_group_name_Hall 'F -4 2 3'
_cell_length_a 7.030
_cell_length_b 7.030
_cell_length_c 7.030
_cell_angle_alpha 90.00
_cell_angle_beta 90.00
_cell_angle_gamma 90.00
loop_
_atom_site_label
_atom_site_type_symbol
_atom_site_fract_x
_atom_site_fract_y
_atom_site_fract_z
Zr1 Zr 0.000 0.000 0.000
Co1 Co 0.250 0.250 0.250
Te1 Te 0.000 0.000 0.500
Te2 Te 0.250 0.250 0.750

=====

(7)
# Zr2CoTe | Alexandria via LeMat-Bulk | PBE-GGA | relaxed
# Spin magnetization (μB per cell): 1.47
# Uncorrected formation energy (meV/atom): -282
data_Zr2CoTe
_chemical_formula_sum 'Zr2 Co1 Te1'
_symmetry_space_group_name_H-M 'P 4/m m m'
_symmetry_Int_Tables_number 123
_symmetry_space_group_name_Hall '-P 4 2'
_cell_length_a 3.549
_cell_length_b 3.549
_cell_length_c 6.298
_cell_angle_alpha 90.00
_cell_angle_beta 90.00
_cell_angle_gamma 90.00
loop_
_atom_site_label
_atom_site_type_symbol
_atom_site_fract_x
_atom_site_fract_y
_atom_site_fract_z
Zr1 Zr 0.000 0.000 0.232
Co1 Co 0.500 0.500 0.000
Te1 Te 0.500 0.500 0.500

=====

(8)
# Zr2CoTe | Alexandria via LeMat-Bulk | PBE-GGA | relaxed
# Spin magnetization (μB per cell): 0.30
# Uncorrected formation energy (meV/atom): -291
data_Zr2CoTe
_chemical_formula_sum 'Zr2 Co1 Te1'
_symmetry_space_group_name_H-M 'P 1 2/m 1'
_symmetry_Int_Tables_number 10
_cell_length_a 3.566
_cell_length_b 3.555
_cell_length_c 6.340
_cell_angle_alpha 90.00
_cell_angle_beta 99.61
_cell_angle_gamma 90.00
loop_
_symmetry_equiv_pos_as_xyz
'x,y,z'
'-x,-y,-z'
'-x,y,-z'
'x,-y,z'
loop_
_atom_site_label
_atom_site_type_symbol
_atom_site_fract_x
_atom_site_fract_y
_atom_site_fract_z
Zr1 Zr 0.052 0.000 0.277
Co1 Co 0.500 0.500 0.500
Te1 Te 0.500 0.500 0.000